Entry 1:
A relaxed structure of Sm2DyIn2Ag2. Source: the Alexandria database, functional GGA-PBE.

POSCAR file:
```
Sm2DyIn2Ag2
1.0
4.859 0.000 0.000
2.429 4.208 0.000
2.429 1.403 9.030
In Sm Ag Dy
2 2 2 1
Direct
0.737 0.737 0.789
0.263 0.263 0.211
0.874 0.874 0.377
0.126 0.126 0.623
0.393 0.393 0.822
0.607 0.607 0.178
0.000 0.000 0.000
```

Calculated values
* energy relative to the elements: -196 kJ/mol of formula units
* space-group type: R-3m, No. 166

---

Entry 2:
A relaxed structure of SmDyInAg. Source: the Alexandria database, functional GGA-PBE.

POSCAR file:
```
SmDyInAg
1.0
5.307 0.000 0.000
2.654 4.596 0.000
2.654 1.532 4.333
Sm In Ag Dy
1 1 1 1
Direct
0.500 0.500 0.500
0.750 0.750 0.750
0.250 0.250 0.250
0.000 0.000 0.000
```

Calculated values
* energy relative to the elements: -148 kJ/mol of formula units
* space-group type: F-43m, No. 216

---

Entry 3:
A relaxed structure of DyInAgSn. Source: the Alexandria database, functional GGA-PBE.

POSCAR file:
```
DyInAgSn
1.0
4.446 0.000 0.000
0.000 4.765 0.000
0.000 0.000 4.435
Dy Sn In Ag
1 1 1 1
Direct
0.500 0.500 0.000
0.000 0.500 0.500
0.000 0.000 0.000
0.500 0.000 0.500
```

Calculated values
* ΔE to the lowest computed polymorph: 0.0000 eV/atom
* energy relative to the elements: -160 kJ/mol of formula units
* space-group type: Pmmm, No. 47

---

Entry 4:
A relaxed structure of DyInAgSn. Source: the Alexandria database, functional GGA-PBE.

POSCAR file:
```
DyInAgSn
1.0
5.169 0.000 0.000
2.584 4.476 0.000
2.584 1.492 4.220
Sn In Ag Dy
1 1 1 1
Direct
0.250 0.250 0.250
0.500 0.500 0.500
0.750 0.750 0.750
0.000 0.000 0.000
```

Calculated values
* ΔE to the lowest computed polymorph: 0.2153 eV/atom
* energy relative to the elements: -76 kJ/mol of formula units
* space-group type: F-43m, No. 216

---

Entry 5:
A relaxed structure of SrDyInAg. Source: the Alexandria database, functional GGA-PBE.

POSCAR file:
```
SrDyInAg
1.0
-2.285 1.942 4.531
-4.874 -1.812 1.576
-0.431 -3.163 4.396
In Sr Ag Dy
1 1 1 1
Direct
0.750 0.750 0.750
0.500 0.500 0.500
0.250 0.250 0.250
0.000 0.000 0.000
```

Calculated values
* energy relative to the elements: -117 kJ/mol of formula units
* space-group type: F-43m, No. 216

---

Entry 6:
A relaxed structure of TbDy2In2Ag2. Source: the Alexandria database, functional GGA-PBE.

POSCAR file:
```
TbDy2In2Ag2
1.0
-4.817 -0.373 -0.372
-1.988 -1.755 -4.056
-1.894 -8.922 1.894
In Tb Ag Dy
2 1 2 2
Direct
0.260 0.260 0.220
0.740 0.740 0.780
0.000 0.000 0.000
0.602 0.602 0.193
0.398 0.398 0.807
0.874 0.874 0.378
0.126 0.126 0.622
```

Calculated values
* energy relative to the elements: -189 kJ/mol of formula units
* space-group type: R-3m, No. 166

---

Entry 7:
A relaxed structure of Dy3In4AgTe8. Source: the Alexandria database, functional GGA-PBE.

POSCAR file:
```
Dy3In4AgTe8
1.0
-5.843 6.604 0.024
-0.897 -0.761 -9.131
-1.392 -7.136 4.992
In Te Dy Ag
4 8 3 1
Direct
0.500 0.000 0.000
0.000 0.000 0.500
0.000 0.000 0.000
0.500 0.000 0.500
0.743 0.728 0.485
0.739 0.732 0.986
0.247 0.733 0.494
0.257 0.272 0.515
0.246 0.732 0.986
0.754 0.268 0.014
0.753 0.267 0.506
0.261 0.268 0.014
0.500 0.500 0.500
0.000 0.500 0.500
0.500 0.500 0.000
0.000 0.500 0.000
```

Calculated values
* space-group type: R-3m, No. 166
* VASP energy: -0.2965 Ry/atom

---

Entry 8:
A relaxed structure of DyIn2AgTe4. Source: the Alexandria database, functional GGA-PBE.

POSCAR file:
```
DyIn2AgTe4
1.0
-2.977 -2.098 -2.372
5.593 -2.525 -4.785
2.643 -6.678 2.590
In Te Ag Dy
2 4 1 1
Direct
0.500 0.000 0.500
0.000 0.000 0.000
0.500 0.262 0.744
0.000 0.742 0.751
0.500 0.738 0.256
0.000 0.258 0.249
0.500 0.500 0.000
0.000 0.500 0.500
```

Calculated values
* space-group type: P2/m, No. 10
* VASP energy: -0.2731 Ry/atom

---

Entry 9:
A relaxed structure of Dy2InAgTe4. Source: the Alexandria database, functional GGA-PBE.

POSCAR file:
```
Dy2InAgTe4
1.0
4.405 0.000 0.000
-2.203 7.425 0.000
0.000 0.000 15.645
Te Dy Ag In
8 4 2 2
Direct
0.729 0.457 0.607
0.000 0.000 0.000
0.459 0.918 0.750
0.271 0.543 0.393
0.541 0.082 0.250
0.271 0.543 0.107
0.000 0.000 0.500
0.729 0.457 0.893
0.631 0.261 0.429
0.369 0.739 0.571
0.631 0.261 0.071
0.369 0.739 0.929
0.156 0.313 0.250
0.844 0.687 0.750
0.871 0.742 0.250
0.129 0.258 0.750
```

Calculated values
* space-group type: Cmcm, No. 63
* VASP energy: -0.3190 Ry/atom

---

Entry 10:
A relaxed structure of Dy3InAg3Te8. Source: the Alexandria database, functional GGA-PBE.

POSCAR file:
```
Dy3InAg3Te8
1.0
-5.494 0.714 -6.721
3.434 -7.746 2.014
-5.866 3.657 5.183
Te In Dy Ag
8 1 3 3
Direct
0.249 0.498 0.248
0.759 0.006 0.753
0.247 0.006 0.753
0.751 0.502 0.752
0.753 0.994 0.247
0.241 0.994 0.247
0.247 0.494 0.753
0.753 0.506 0.247
0.000 0.000 0.500
0.500 0.500 0.500
0.000 0.500 0.500
0.500 0.000 0.500
0.000 0.500 0.000
0.000 0.000 0.000
0.500 0.500 0.000
```

Calculated values
* space-group type: C2/m, No. 12
* VASP energy: -0.2959 Ry/atom

---

Entry 11:
A relaxed structure of DyTh2In2Ag2. Source: the Alexandria database, functional GGA-PBE.

POSCAR file:
```
DyTh2In2Ag2
1.0
4.867 0.000 0.000
2.434 4.215 0.000
2.434 1.405 8.953
In Th Ag Dy
2 2 2 1
Direct
0.733 0.733 0.802
0.267 0.267 0.198
0.872 0.872 0.385
0.128 0.128 0.615
0.394 0.394 0.819
0.606 0.606 0.181
0.000 0.000 0.000
```

Calculated values
* energy relative to the elements: -92 kJ/mol of formula units
* space-group type: R-3m, No. 166

---

Entry 12:
A relaxed structure of Dy2ThIn2Ag2. Source: the Alexandria database, functional GGA-PBE.

POSCAR file:
```
Dy2ThIn2Ag2
1.0
4.878 0.000 0.000
2.439 4.224 0.000
2.439 1.408 8.701
Ag In Th Dy
2 2 1 2
Direct
0.571 0.571 0.287
0.429 0.429 0.713
0.263 0.263 0.210
0.737 0.737 0.790
0.000 0.000 0.000
0.867 0.867 0.398
0.133 0.133 0.602
```

Calculated values
* energy relative to the elements: -149 kJ/mol of formula units
* space-group type: R-3m, No. 166

---

What did the ninth record say?
A relaxed structure of Dy2InAgTe4. Source: the Alexandria database, functional GGA-PBE.

POSCAR file:
```
Dy2InAgTe4
1.0
4.405 0.000 0.000
-2.203 7.425 0.000
0.000 0.000 15.645
Te Dy Ag In
8 4 2 2
Direct
0.729 0.457 0.607
0.000 0.000 0.000
0.459 0.918 0.750
0.271 0.543 0.393
0.541 0.082 0.250
0.271 0.543 0.107
0.000 0.000 0.500
0.729 0.457 0.893
0.631 0.261 0.429
0.369 0.739 0.571
0.631 0.261 0.071
0.369 0.739 0.929
0.156 0.313 0.250
0.844 0.687 0.750
0.871 0.742 0.250
0.129 0.258 0.750
```

Calculated values
* space-group type: Cmcm, No. 63
* VASP energy: -0.3190 Ry/atom